[1]
Sm5Te2Pt2: optimized geometry, PBE-GGA.

Cell lengths 7.982, 7.993, 8.883 Å; angles 90.00, 63.30, 90.00 degrees
Fractional positions:
Sm  0.000  0.000  0.000
Sm  0.500  0.500  0.000
Sm  0.462  0.158  0.758
Sm  0.780  0.842  0.758
Sm  0.280  0.658  0.758
Sm  0.962  0.342  0.758
Sm  0.538  0.842  0.242
Sm  0.220  0.158  0.242
Sm  0.720  0.342  0.242
Sm  0.038  0.658  0.242
Te  0.206  0.000  0.589
Te  0.706  0.500  0.589
Te  0.794  0.000  0.411
Te  0.294  0.500  0.411
Pt  0.139  0.366  0.000
Pt  0.861  0.634  0.000
Pt  0.361  0.866  0.000
Pt  0.639  0.134  0.000

Summary:
Space-group type   No. 64
Calculated density   9.16 g/cm³
Size of the total moment   0.000 μB per atom
Fermi-level density of states   16.4 states/eV/cell
Formation energy from raw total energies   -1175 meV per atom
Crystal system   orthorhombic

[2]
Sm4TePt2: optimized geometry, PBE-GGA.

Cell lengths 8.795, 8.795, 8.774 Å; angles 120.01, 120.01, 90.11 degrees
Fractional positions:
Sm  0.857  0.144  0.286
Sm  0.393  0.606  0.214
Sm  0.857  0.570  0.714
Sm  0.856  0.143  0.714
Sm  0.430  0.143  0.286
Sm  0.393  0.180  0.786
Sm  0.394  0.607  0.786
Sm  0.820  0.607  0.214
Te  0.250  0.750  0.500
Te  0.000  0.000  0.000
Pt  0.625  0.375  0.750
Pt  0.625  0.875  0.250
Pt  0.625  0.375  0.250
Pt  0.125  0.375  0.750

Summary:
Space-group type   No. 70
Calculated density   7.76 g/cm³
Size of the total moment   0.000 μB per atom
Fermi-level density of states   12.2 states/eV/cell
Formation energy from raw total energies   -969 meV per atom
Crystal system   orthorhombic